[1]
{"formula": "RbMnPt", "functional": "PBE", "state": "relaxed", "lattice": [[-4.707, 6.727, 0.836], [-1.464, -0.521, -4.051], [-7.549, -5.713, 3.462]], "species": ["Mn", "Mn", "Mn", "Mn", "Pt", "Pt", "Pt", "Pt", "Rb", "Rb", "Rb", "Rb"], "fractional_positions": [[0.886, 0.250, 0.466], [0.114, 0.750, 0.534], [0.614, 0.750, 0.966], [0.386, 0.250, 0.034], [0.313, 0.750, 0.919], [0.187, 0.250, 0.419], [0.687, 0.250, 0.081], [0.813, 0.750, 0.581], [0.980, 0.250, 0.824], [0.520, 0.750, 0.324], [0.480, 0.250, 0.676], [0.020, 0.750, 0.176]], "crystal_system": "orthorhombic", "e_tot_ev_per_cell": -62.04, "e_above_lowest_polymorph_ev_per_atom": 0.190, "spacegroup": "No. 62"}

[2]
{"formula": "Pu3Se2N", "functional": "PBE", "state": "relaxed", "lattice": [[3.677, 0.000, 0.000], [0.000, 5.629, 0.000], [0.000, -2.815, 6.750]], "species": ["N", "Pu", "Pu", "Pu", "Se", "Se"], "fractional_positions": [[0.000, 0.000, 0.000], [0.500, 0.881, 0.763], [0.000, 0.500, 0.000], [0.500, 0.119, 0.237], [0.500, 0.336, 0.673], [0.500, 0.664, 0.327]], "e_form_raw_ev_per_fu": -6.577, "crystal_system": "orthorhombic", "e_tot_ev_per_cell": -64.87, "spacegroup": "No. 65"}